First-principles (PBE) data for crystalline Rb4Ce3HoS8 at its relaxed geometry, as listed in the Alexandria database.

CIF file:
```
data_Rb4Ce3HoS8
_chemical_formula_sum 'Rb4 Ce3 Ho1 S8'
_symmetry_space_group_name_H-M 'P 1'
_symmetry_Int_Tables_number 1
_cell_length_a 9.084
_cell_length_b 9.084
_cell_length_c 9.084
_cell_angle_alpha 55.12
_cell_angle_beta 55.12
_cell_angle_gamma 55.12
loop_
_symmetry_equiv_pos_as_xyz
'x,y,z'
loop_
_atom_site_label
_atom_site_fract_x
_atom_site_fract_y
_atom_site_fract_z
Rb1 0.000 0.000 0.000
Rb2 0.000 0.500 0.500
Rb3 0.500 0.000 0.500
Rb4 0.500 0.500 0.000
Ce1 0.000 0.000 0.500
Ce2 0.000 0.500 0.000
Ce3 0.500 0.000 0.000
Ho1 0.500 0.500 0.500
S1 0.232 0.232 0.232
S2 0.240 0.727 0.727
S3 0.273 0.273 0.760
S4 0.273 0.760 0.273
S5 0.727 0.240 0.727
S6 0.727 0.727 0.240
S7 0.760 0.273 0.273
S8 0.768 0.768 0.768
```

---

First-principles (PBE) data for crystalline Ca2MgMn at its relaxed geometry, as listed in the Alexandria database.

CIF file:
```
data_Ca2MgMn
_chemical_formula_sum 'Ca2 Mg1 Mn1'
_symmetry_space_group_name_H-M 'P 1'
_symmetry_Int_Tables_number 1
_cell_length_a 10.628
_cell_length_b 10.628
_cell_length_c 10.628
_cell_angle_alpha 19.54
_cell_angle_beta 19.54
_cell_angle_gamma 19.54
loop_
_symmetry_equiv_pos_as_xyz
'x,y,z'
loop_
_atom_site_label
_atom_site_fract_x
_atom_site_fract_y
_atom_site_fract_z
Ca1 0.242 0.242 0.242
Ca2 0.758 0.758 0.758
Mg1 0.000 0.000 0.000
Mn1 0.500 0.500 0.500
```

---

First-principles (PBE) data for crystalline ScB at its relaxed geometry, as listed in the Alexandria database.

CIF file:
```
data_ScB
_chemical_formula_sum 'Sc4 B4'
_symmetry_space_group_name_H-M 'P 1'
_symmetry_Int_Tables_number 1
_cell_length_a 5.001
_cell_length_b 5.001
_cell_length_c 4.730
_cell_angle_alpha 90.00
_cell_angle_beta 90.00
_cell_angle_gamma 90.00
loop_
_symmetry_equiv_pos_as_xyz
'x,y,z'
loop_
_atom_site_label
_atom_site_fract_x
_atom_site_fract_y
_atom_site_fract_z
Sc1 0.193 0.193 0.000
Sc2 0.307 0.693 0.500
Sc3 0.693 0.307 0.500
Sc4 0.807 0.807 0.000
B1 0.116 0.116 0.500
B2 0.384 0.616 0.000
B3 0.616 0.384 0.000
B4 0.884 0.884 0.500
```

---

Number 1: E_tot -87.763 eV/cell. Number 2: E_tot -13.147 eV/cell. Number 3: E_tot -52.689 eV/cell.